1.
VASP calculation (PBE) on a geometry-optimized TaTcSb structure.

Lattice parameters (Å, degrees): 4.5215 4.5215 3.0435 90.00 90.00 120.00
Fractional positions:
Ta (0.0000, 0.0000, 0.0000)
Tc (0.6667, 0.3333, 0.5000)
Sb (0.3333, 0.6667, 0.5000)

Computed properties:
Magnetic moment = 0.0 μB per cell
Space-group type = P-6m2, No. 187
Crystal system = hexagonal
E_form (uncorrected) = 0.29 eV/f.u.



2.
VASP calculation (PBE) on a geometry-optimized TaTcSb structure.

Lattice parameters (Å, degrees): 3.2041 3.2041 6.5608 90.00 90.00 120.00
Fractional positions:
Ta (0.0000, 0.0000, 0.0000)
Tc (0.6667, 0.3333, 0.2694)
Sb (0.3333, 0.6667, 0.6254)

Computed properties:
Magnetic moment = 0.0 μB per cell
Space-group type = P3m1, No. 156
Crystal system = trigonal
E_form (uncorrected) = 0.52 eV/f.u.